No. 1
A plane-wave DFT calculation with PBE-GGA was carried out for a geometry-optimized AcHfTl2 structure.

Structure (extended XYZ):
```
12
Lattice="3.4493 0.0000 0.0000 -1.7247 2.9872 0.0000 0.0000 0.0000 36.1588" Properties=species:S:1:pos:R:3 pbc="T T T"
Ac 0.0000 0.0000 0.0000
Ac 0.0000 1.9915 24.1058
Ac 1.7247 0.9957 12.0529
Hf 0.0000 0.0000 18.0794
Hf 0.0000 1.9915 6.0265
Hf 1.7247 0.9957 30.1323
Tl 0.0000 0.0000 15.1474
Tl 0.0000 0.0000 21.0114
Tl 0.0000 1.9915 3.0944
Tl 0.0000 1.9915 8.9585
Tl 1.7247 0.9957 27.2003
Tl 1.7247 0.9957 33.0643
```

Calculated values
E_form, eV/atom: 0.345
Crystal system: trigonal
Density of states at the Fermi level, states/eV/f.u.: 3.265
SG: No. 166
Calculated total energy, Ry/atom: -0.3200



No. 2
A plane-wave DFT calculation with PBE-GGA was carried out for a geometry-optimized AcHfTl2 structure.

Structure (extended XYZ):
```
4
Lattice="3.8556 0.0000 0.0000 0.0000 3.8556 0.0000 0.0000 0.0000 7.6032" Properties=species:S:1:pos:R:3 pbc="T T T"
Ac 0.0000 0.0000 0.0000
Hf 0.0000 0.0000 3.8016
Tl 1.9278 1.9278 2.2111
Tl 1.9278 1.9278 5.3922
```

Calculated values
E_form, eV/atom: 0.017
Crystal system: tetragonal
Density of states at the Fermi level, states/eV/f.u.: 3.886
SG: No. 123
Calculated total energy, Ry/atom: -0.3441



No. 3
A plane-wave DFT calculation with PBE-GGA was carried out for a geometry-optimized Ac2HfTl structure.

Structure (extended XYZ):
```
12
Lattice="3.5491 0.0000 0.0000 -1.7745 3.0736 0.0000 0.0000 0.0000 37.3349" Properties=species:S:1:pos:R:3 pbc="T T T"
Ac 0.0000 0.0000 3.2410
Ac 0.0000 0.0000 34.0939
Ac 0.0000 2.0491 21.6489
Ac 0.0000 2.0491 28.1309
Ac 1.7746 1.0245 9.2039
Ac 1.7746 1.0245 15.6860
Hf 0.0000 0.0000 0.0000
Hf 0.0000 2.0491 24.8899
Hf 1.7746 1.0245 12.4449
Tl 0.0000 0.0000 18.6674
Tl 0.0000 2.0491 6.2225
Tl 1.7746 1.0245 31.1124
```

Calculated values
E_form, eV/atom: 0.471
Crystal system: trigonal
Density of states at the Fermi level, states/eV/f.u.: 4.468
SG: No. 166
Calculated total energy, Ry/atom: -0.3427



No. 4
A plane-wave DFT calculation with PBE-GGA was carried out for a geometry-optimized AcTm2Hf structure.

Structure (extended XYZ):
```
12
Lattice="3.4395 0.0000 0.0000 -1.7197 2.9787 0.0000 0.0000 0.0000 36.5503" Properties=species:S:1:pos:R:3 pbc="T T T"
Ac 0.0000 0.0000 0.0000
Ac 0.0000 1.9858 24.3669
Ac 1.7197 0.9929 12.1834
Tm 0.0000 0.0000 15.2036
Tm 0.0000 0.0000 21.3467
Tm 0.0000 1.9858 3.0202
Tm 0.0000 1.9858 9.1633
Tm 1.7197 0.9929 27.3871
Tm 1.7197 0.9929 33.5301
Hf 0.0000 0.0000 18.2752
Hf 0.0000 1.9858 6.0917
Hf 1.7197 0.9929 30.4586
```

Calculated values
E_form, eV/atom: 0.512
Crystal system: trigonal
Density of states at the Fermi level, states/eV/f.u.: 7.459
SG: No. 166
Calculated total energy, Ry/atom: -0.3851



Which of these has the highest E_form?
AcTm2Hf



Which value of calculated total energy does entry 2 give?
-0.3441 Ry/atom



Among the records above, which one has the highest density of states at the Fermi level?
AcTm2Hf



Which of these has the lowest E_form?
number 2